# 1
{"formula": "Ho8TlCd2", "functional": "PBE", "state": "relaxed", "lattice_angstrom": [[8.120, -2.643, 0.000], [8.120, 2.643, 0.000], [-4.357, 0.000, 7.298]], "species": ["Ho", "Ho", "Ho", "Ho", "Ho", "Ho", "Ho", "Ho", "Tl", "Cd", "Cd"], "frac_coords": [[0.067, 0.067, 0.219], [0.140, 0.140, 0.686], [0.318, 0.318, 0.550], [0.407, 0.407, 0.044], [0.593, 0.593, 0.956], [0.682, 0.682, 0.450], [0.860, 0.860, 0.314], [0.933, 0.933, 0.781], [0.500, 0.500, 0.500], [0.224, 0.224, 0.113], [0.776, 0.776, 0.887]], "e_above_lowest_polymorph_kj_per_mol_atoms": 0.0, "formation_enthalpy_0k_ev_per_fu": -1.90, "energy_ev_per_atom": -3.884, "crystal_system": "monoclinic", "space_group": "No. 12"}


# 2
{"formula": "HoTm2Tl2Cd2", "functional": "PBE", "state": "relaxed", "lattice_angstrom": [[2.504, 1.445, 8.541], [-2.504, 1.445, 8.541], [0.000, -2.891, 8.541]], "species": ["Ho", "Tm", "Tm", "Tl", "Tl", "Cd", "Cd"], "frac_coords": [[0.000, 0.000, 0.000], [0.134, 0.134, 0.134], [0.866, 0.866, 0.866], [0.270, 0.270, 0.270], [0.730, 0.730, 0.730], [0.432, 0.432, 0.432], [0.568, 0.568, 0.568]], "formation_enthalpy_0k_ev_per_fu": -0.75, "energy_ev_per_atom": -2.976, "crystal_system": "trigonal", "space_group": "No. 166"}